DFT (PBE) results for an optimized crystal structure of YTaHgRh2.

Computed properties:
Raw total energy (eV per cell): -30.30
Energy of formation from the pure elements (meV/atom): 604
Magnetization (μB per atom): 0.00

a b c (Å): 4.720 4.720 5.580
angles (deg): 90.00 90.00 90.00
Sites, in units of the cell vectors:
Y: 0.000 0.000 0.000
Ta: 0.000 0.000 0.500
Hg: 0.500 0.500 0.000
Rh: 0.000 0.500 0.500
Rh: 0.500 0.000 0.500